[1]
# Y2PBr2

An optimized crystal structure of Y2PBr2 (PBEsol, the Alexandria database).

Unit cell a=7.548 b=7.548 c=7.548 alpha=147.14 beta=147.14 gamma=47.16
Atoms (fractional coordinates):
Y 0.111 0.111 0.000
Y 0.889 0.889 0.000
P 0.500 0.500 0.000
Br 0.250 0.750 0.500
Br 0.750 0.250 0.500

Results
calculated total energy: -5.5756 eV/atom
DOS at the Fermi energy: 1.57 states/eV/cell

***

[2]
# CrTePS2

An optimized crystal structure of CrTePS2 (PBEsol, the Alexandria database).

Unit cell a=4.926 b=4.926 c=5.081 alpha=90.00 beta=90.00 gamma=90.00
Atoms (fractional coordinates):
Cr 0.000 0.000 0.000
Te 0.500 0.500 0.500
P 0.500 0.500 0.000
S 0.000 0.500 0.500
S 0.500 0.000 0.500

Results
calculated total energy: -4.5966 eV/atom
DOS at the Fermi energy: 4.32 states/eV/cell

***

[3]
# RbAlSN2

An optimized crystal structure of RbAlSN2 (PBEsol, the Alexandria database).

Unit cell a=5.033 b=5.033 c=6.118 alpha=90.00 beta=90.00 gamma=90.00
Atoms (fractional coordinates):
Rb 0.000 0.000 0.000
Al 0.500 0.500 0.500
S 0.000 0.000 0.500
N 0.000 0.500 0.000
N 0.500 0.000 0.000

Results
calculated total energy: -3.0063 eV/atom
DOS at the Fermi energy: 3.20 states/eV/cell